{
  "formula": "Tc2HW",
  "functional": "GGA-PBE",
  "state": "optimized geometry",
  "de_polymorph_ev_per_fu": 0.00,
  "crystal_system": "tetragonal",
  "dos_ef_per_ev_atom": 0.547,
  "sg": "I-42d (122)",
  "lattice_angstrom": [[-0.805, 5.898, 1.046], [-1.250, 0.867, -5.849], [-3.634, 2.940, -1.910]],
  "species": ["W", "Tc", "Tc", "Tc", "Tc", "H", "W", "H"],
  "frac_coords": [[0.000, 0.000, 0.000], [0.221, 0.625, 0.250], [0.375, 0.471, 0.750], [0.529, 0.125, 0.250], [0.875, 0.779, 0.750], [0.250, 0.750, 0.500], [0.750, 0.250, 0.500], [0.500, 0.500, 0.000]]
}

---

{
  "formula": "La5Sm12In2",
  "functional": "GGA-PBE",
  "state": "optimized geometry",
  "energy_ev_per_atom": -4.59,
  "crystal_system": "monoclinic",
  "dos_ef_per_ev_atom": 1.346,
  "sg": "C2/m (12)",
  "lattice_angstrom": [[-3.221, 4.021, 7.845], [-5.461, -1.086, -7.300], [-1.982, -7.828, 3.198]],
  "species": ["In", "Sm", "In", "Sm", "La", "La", "La", "Sm", "La", "Sm", "Sm", "Sm", "Sm", "Sm", "Sm", "Sm", "Sm", "Sm", "La"],
  "frac_coords": [[0.325, 0.000, 0.000], [0.181, 0.748, 0.326], [0.675, 0.000, 0.000], [0.674, 0.716, 0.762], [0.305, 0.609, 0.985], [0.768, 0.535, 0.422], [0.695, 0.391, 0.015], [0.326, 0.284, 0.238], [0.232, 0.465, 0.578], [0.042, 0.716, 0.762], [0.075, 0.150, 0.885], [0.819, 0.252, 0.674], [0.925, 0.850, 0.115], [0.567, 0.748, 0.326], [0.433, 0.252, 0.674], [0.554, 0.108, 0.327], [0.958, 0.284, 0.238], [0.446, 0.892, 0.673], [0.000, 0.000, 0.500]]
}

---

{
  "formula": "CaGeBr2",
  "functional": "GGA-PBE",
  "state": "optimized geometry",
  "de_polymorph_ev_per_fu": 0.24,
  "crystal_system": "monoclinic",
  "raw_formation_energy_ev_per_atom": -1.183,
  "dos_ef_per_ev_atom": 0.007,
  "sg": "Cm (8)",
  "lattice_angstrom": [[8.095, 0.000, 0.011], [0.000, 4.091, 0.000], [-0.039, 0.000, 17.404]],
  "species": ["Ge", "Ge", "Br", "Br", "Ca", "Br", "Br", "Ca", "Br", "Ge", "Br", "Ca", "Ge", "Ca", "Br", "Br"],
  "frac_coords": [[0.769, 0.500, 0.762], [0.769, 0.000, 0.262], [0.533, 0.500, 0.655], [0.302, 0.500, 0.870], [0.122, 0.500, 0.442], [0.763, 0.500, 0.472], [0.302, 0.000, 0.370], [0.759, 0.000, 0.592], [0.533, 0.000, 0.155], [0.934, 0.000, 0.766], [0.114, 0.000, 0.568], [0.759, 0.500, 0.092], [0.934, 0.500, 0.266], [0.122, 0.000, 0.942], [0.763, 0.000, 0.972], [0.114, 0.500, 0.068]]
}

---

{
  "formula": "KVCdB2",
  "functional": "GGA-PBE",
  "state": "optimized geometry",
  "energy_ev_per_atom": -2.55,
  "crystal_system": "tetragonal",
  "dos_ef_per_ev_atom": 0.908,
  "sg": "P4/mmm (123)",
  "lattice_angstrom": [[-3.428, 2.687, 0.823], [-1.076, 0.241, -5.262], [-2.667, -3.519, 0.384]],
  "species": ["B", "B", "V", "Cd", "K"],
  "frac_coords": [[0.500, 0.000, 0.000], [0.000, 0.000, 0.500], [0.500, 0.500, 0.500], [0.000, 0.000, 0.000], [0.000, 0.500, 0.000]]
}

---

{
  "formula": "Hf2ZrFe",
  "functional": "GGA-PBE",
  "state": "optimized geometry",
  "de_polymorph_ev_per_fu": 1.26,
  "crystal_system": "cubic",
  "dos_ef_per_ev_atom": 2.205,
  "sg": "Fm-3m (225)",
  "lattice_angstrom": [[0.000, 3.336, 3.336], [3.336, 0.000, 3.336], [3.336, 3.336, 0.000]],
  "species": ["Zr", "Hf", "Hf", "Fe"],
  "frac_coords": [[0.500, 0.500, 0.500], [0.250, 0.250, 0.250], [0.750, 0.750, 0.750], [0.000, 0.000, 0.000]]
}

---

{
  "formula": "RbIrRu",
  "functional": "GGA-PBE",
  "state": "optimized geometry",
  "de_polymorph_ev_per_fu": 0.82,
  "crystal_system": "hexagonal",
  "dos_ef_per_ev_atom": 0.706,
  "sg": "P6_3mc (186)",
  "lattice_angstrom": [[3.466, -2.001, 0.000], [0.000, 4.002, 0.000], [0.000, 0.000, 11.864]],
  "species": ["Ru", "Ir", "Rb", "Rb", "Ir", "Ru"],
  "frac_coords": [[0.333, 0.667, 0.024], [0.333, 0.667, 0.475], [0.000, 0.000, 0.252], [0.000, 0.000, 0.752], [0.667, 0.333, 0.975], [0.667, 0.333, 0.524]]
}

---

{
  "formula": "EuCdPt",
  "functional": "GGA-PBE",
  "state": "optimized geometry",
  "energy_ev_per_atom": -6.38,
  "crystal_system": "cubic",
  "dos_ef_per_ev_atom": 3.594,
  "sg": "F-43m (216)",
  "lattice_angstrom": [[4.837, 0.000, 0.000], [2.419, 4.189, 0.000], [2.419, 1.396, 3.950]],
  "species": ["Pt", "Cd", "Eu"],
  "frac_coords": [[0.250, 0.250, 0.250], [0.000, 0.000, 0.000], [0.500, 0.500, 0.500]]
}

---

{
  "formula": "SrIn2Br8",
  "functional": "GGA-PBE",
  "state": "optimized geometry",
  "de_polymorph_ev_per_fu": 0.00,
  "crystal_system": "monoclinic",
  "raw_formation_energy_ev_per_atom": -1.158,
  "dos_ef_per_ev_atom": 0.000,
  "sg": "C2/c (15)",
  "lattice_angstrom": [[9.993, 0.000, 4.410], [3.978, 9.140, 4.513], [0.955, 1.261, 11.363]],
  "species": ["Br", "Br", "In", "In", "Br", "In", "Br", "Br", "Br", "Br", "Br", "Br", "Br", "Br", "Sr", "Sr", "Br", "Br", "Br", "In", "Br", "Br"],
  "frac_coords": [[0.930, 0.351, 0.987], [0.887, 0.475, 0.426], [0.642, 0.638, 0.558], [0.162, 0.138, 0.058], [0.788, 0.025, 0.074], [0.358, 0.362, 0.442], [0.070, 0.649, 0.013], [0.357, 0.544, 0.182], [0.917, 0.044, 0.682], [0.113, 0.525, 0.574], [0.365, 0.222, 0.995], [0.643, 0.456, 0.818], [0.083, 0.956, 0.318], [0.417, 0.722, 0.495], [0.025, 0.750, 0.250], [0.975, 0.250, 0.750], [0.212, 0.975, 0.926], [0.732, 0.851, 0.487], [0.635, 0.778, 0.005], [0.838, 0.862, 0.942], [0.268, 0.149, 0.513], [0.583, 0.278, 0.505]]
}

---

{
  "formula": "KSr2SbO6",
  "functional": "GGA-PBE",
  "state": "optimized geometry",
  "crystal_system": "monoclinic",
  "raw_formation_energy_ev_per_atom": -1.838,
  "dos_ef_per_ev_atom": 0.488,
  "sg": "P2_1/c (14)",
  "lattice_angstrom": [[-2.348, -5.521, 0.703], [5.847, -2.351, 1.064], [-1.062, 1.236, 8.567]],
  "species": ["Sr", "O", "O", "O", "Sr", "O", "Sr", "O", "K", "Sb", "O", "O", "O", "O", "Sr", "O", "K", "O", "Sb", "O"],
  "frac_coords": [[0.988, 0.049, 0.731], [0.719, 0.345, 0.966], [0.144, 0.250, 0.096], [0.624, 0.093, 0.296], [0.512, 0.549, 0.769], [0.856, 0.750, 0.904], [0.012, 0.951, 0.269], [0.644, 0.250, 0.596], [0.500, 0.000, 0.000], [0.500, 0.000, 0.500], [0.781, 0.845, 0.534], [0.281, 0.655, 0.034], [0.219, 0.155, 0.466], [0.356, 0.750, 0.404], [0.488, 0.451, 0.231], [0.376, 0.907, 0.704], [0.000, 0.500, 0.500], [0.876, 0.593, 0.204], [0.000, 0.500, 0.000], [0.124, 0.407, 0.796]]
}

---

{
  "formula": "Na3Tm3BiSe8",
  "functional": "GGA-PBE",
  "state": "optimized geometry",
  "crystal_system": "trigonal",
  "raw_formation_energy_ev_per_atom": -1.376,
  "dos_ef_per_ev_atom": 0.356,
  "sg": "R-3m (166)",
  "lattice_angstrom": [[8.177, 0.000, 0.000], [-4.089, 7.082, -0.028], [0.000, -4.698, 7.093]],
  "species": ["Na", "Se", "Bi", "Se", "Tm", "Na", "Se", "Tm", "Se", "Se", "Se", "Na", "Tm", "Se", "Se"],
  "frac_coords": [[0.500, 0.500, 0.000], [0.258, 0.516, 0.274], [0.000, 0.000, 0.500], [0.742, 0.484, 0.726], [0.000, 0.500, 0.500], [0.000, 0.000, 0.000], [0.754, 0.017, 0.271], [0.500, 0.000, 0.500], [0.737, 0.983, 0.729], [0.246, 0.492, 0.729], [0.246, 0.983, 0.729], [0.000, 0.500, 0.000], [0.500, 0.500, 0.500], [0.754, 0.508, 0.271], [0.263, 0.017, 0.271]]
}

---

{
  "formula": "SrIn2Os",
  "functional": "GGA-PBE",
  "state": "optimized geometry",
  "energy_ev_per_atom": -4.11,
  "crystal_system": "tetragonal",
  "dos_ef_per_ev_atom": 0.945,
  "sg": "P4/mmm (123)",
  "lattice_angstrom": [[-0.141, 0.465, -4.454], [1.205, -4.288, -0.486], [-4.426, -1.245, 0.010]],
  "species": ["In", "Os", "In", "Sr"],
  "frac_coords": [[0.000, 0.000, 0.000], [0.500, 0.000, 0.500], [0.500, 0.500, 0.000], [0.000, 0.500, 0.500]]
}

---

{
  "formula": "Tb7In2Te2",
  "functional": "GGA-PBE",
  "state": "optimized geometry",
  "crystal_system": "orthorhombic",
  "raw_formation_energy_ev_per_atom": -0.389,
  "dos_ef_per_ev_atom": 1.088,
  "sg": "Cmmm (65)",
  "lattice_angstrom": [[6.871, -0.002, -0.747], [0.004, 7.498, 0.002], [-1.174, -0.003, 6.811]],
  "species": ["Tb", "In", "Tb", "Tb", "Tb", "Tb", "Tb", "Te", "Te", "In", "Tb"],
  "frac_coords": [[0.500, 0.267, 0.500], [0.825, 0.500, 0.825], [0.000, 0.281, 0.500], [0.500, 0.719, 0.000], [0.500, 0.281, 0.000], [0.000, 0.000, 0.000], [0.500, 0.733, 0.500], [0.720, 0.000, 0.280], [0.280, 0.000, 0.720], [0.175, 0.500, 0.175], [0.000, 0.719, 0.500]]
}